Entry 1:
## Mg2MnTl (PBE)

Data for a relaxed structure of Mg2MnTl.

## Properties
As for the magnetic moment: 3.6 μB per formula unit. The calculation puts the raw total energy at -3.48 eV per atom. Its space group is I-4m2, No. 119. The formation energy comes out at 19.0 kJ/mol of atoms. The volume is 20.4 Å³/atom.

a b c (Å): 5.2994 5.2994 5.2994
angles (deg): 131.63 131.63 70.81
Positions (direct):
Tl1 0.7500 0.2500 0.5000
Mn1 0.5000 0.5000 0.0000
Mg1 0.2500 0.7500 0.5000
Mg2 0.0000 0.0000 0.0000

Entry 2:
## TaBrCl2 (PBE)

Data for a relaxed structure of TaBrCl2.

## Properties
As for the magnetic moment: 0.8 μB per formula unit. The calculation puts the raw total energy at -5.10 eV per atom. Its space group is Cm, No. 8. The volume is 32.0 Å³/atom.

a b c (Å): 6.8384 6.8384 6.9032
angles (deg): 61.20 61.20 27.19
Positions (direct):
Cl1 0.1457 0.1457 0.3654
Cl2 0.9987 0.9987 0.1000
Ta1 0.5040 0.5040 0.3669
Br1 0.8517 0.8517 0.6677

Entry 3:
## TbYFe (PBE)

Data for a relaxed structure of TbYFe.

## Properties
As for the magnetic moment: 0.8 μB per formula unit. The calculation puts the raw total energy at -6.44 eV per atom. Its space group is Cmce, No. 64. The formation energy comes out at 7.7 kJ/mol of atoms. The volume is 25.2 Å³/atom.

a b c (Å): 6.8385 6.8741 7.4084
angles (deg): 90.00 90.00 119.83
Positions (direct):
Fe1 0.0912 0.1825 0.9559
Fe2 0.9088 0.8175 0.0441
Fe3 0.4088 0.8175 0.4559
Fe4 0.5912 0.1825 0.5441
Y1 0.3026 0.6052 0.1125
Y2 0.1974 0.3948 0.6125
Y3 0.6974 0.3948 0.8875
Y4 0.8026 0.6052 0.3875
Tb1 0.7950 0.0900 0.2500
Tb2 0.7050 0.9100 0.7500
Tb3 0.2050 0.9100 0.7500
Tb4 0.2950 0.0900 0.2500

Look up the magnetic moment of the second one. 0.8 μB per formula unit